A geometry-optimized RuSe3 structure, computed with PBE-GGA.

Values from the calculation:
**Uncorrected formation energy**: 36.13 kJ/mol of atoms
**D(E_F)**: 2.38 states/eV/f.u.
**Size of the total moment**: 0.0 μB per formula unit
**Energy**: -4.5579 eV per atom
**Volume**: 87 Å³/cell

a b c (Å): 3.449 4.688 5.408
angles (deg): 90.00 90.00 90.00
Atoms (fractional coordinates):
Ru: 0.000 0.000 0.095
Se: 0.500 0.000 0.407
Se: 0.500 0.500 0.895
Se: 0.000 0.500 0.270